[1]
Compound: CoHgSb2Pd
Source: Alexandria
Functional: GGA-PBE
Structure: relaxed

POSCAR file:
```
CoHgSb2Pd
1.0
5.4222 0.0000 0.0000
0.0000 5.4222 0.0000
0.0000 0.0000 4.8029
Co Hg Sb Pd
1 1 2 1
Direct
0.0000 0.0000 0.0000
0.0000 0.0000 0.5000
0.0000 0.5000 0.5000
0.5000 0.0000 0.5000
0.5000 0.5000 0.0000
```

Output
- space group = P4/mmm
- total moment (μB/f.u.) = 1.704
- mass density (kg/m3) = 7167
- E_form (uncorrected) (eV per atom) = 1.249

=====

[2]
Compound: ScCoHgPd
Source: Alexandria
Functional: GGA-PBE
Structure: relaxed

POSCAR file:
```
ScCoHgPd
1.0
0.0000 3.2054 3.2054
3.2054 0.0000 3.2054
3.2054 3.2054 0.0000
Sc Co Hg Pd
1 1 1 1
Direct
0.0000 0.0000 0.0000
0.2500 0.2500 0.2500
0.5000 0.5000 0.5000
0.7500 0.7500 0.7500
```

Output
- space group = F-43m
- ΔH_f (0 K) (eV/atom) = -0.286
- total moment (μB/f.u.) = 0.007
- mass density (kg/m3) = 10359

=====

[3]
Compound: CoSnHg2Pd
Source: Alexandria
Functional: GGA-PBE
Structure: relaxed

POSCAR file:
```
CoSnHg2Pd
1.0
5.4812 0.0000 0.0000
0.0000 5.4812 0.0000
0.0000 0.0000 5.0360
Co Sn Hg Pd
1 1 2 1
Direct
0.0000 0.0000 0.0000
0.5000 0.5000 0.5000
0.0000 0.5000 0.5000
0.5000 0.0000 0.5000
0.5000 0.5000 0.0000
```

Output
- space group = P4/mmm
- ΔH_f (0 K) (eV/atom) = 1.020
- total moment (μB/f.u.) = 2.557
- mass density (kg/m3) = 7521

=====

[4]
Compound: ZrCoHgPd
Source: Alexandria
Functional: GGA-PBE
Structure: relaxed

POSCAR file:
```
ZrCoHgPd
1.0
0.0000 3.2355 3.2355
3.2355 0.0000 3.2355
3.2355 3.2355 0.0000
Zr Co Hg Pd
1 1 1 1
Direct
0.0000 0.0000 0.0000
0.2500 0.2500 0.2500
0.5000 0.5000 0.5000
0.7500 0.7500 0.7500
```

Output
- space group = F-43m
- ΔH_f (0 K) (eV/atom) = -0.226
- total moment (μB/f.u.) = 0.876
- mass density (kg/m3) = 11206

=====

[5]
Compound: Pm4CoHg3
Source: Alexandria
Functional: GGA-PBE
Structure: relaxed

POSCAR file:
```
Pm4CoHg3
1.0
3.6440 0.0000 0.0000
0.0000 3.6440 0.0000
0.0000 0.0000 15.5888
Pm Co Hg
4 1 3
Direct
0.0000 0.0000 0.1056
0.0000 0.0000 0.3695
0.0000 0.0000 0.6305
0.0000 0.0000 0.8944
0.5000 0.5000 0.0000
0.5000 0.5000 0.2408
0.5000 0.5000 0.5000
0.5000 0.5000 0.7592
```

Output
- space group = P4/mmm
- ΔH_f (0 K) (eV/atom) = -0.342
- total moment (μB/f.u.) = 0.956
- mass density (kg/m3) = 9953

=====

[6]
Compound: Pm6CoHg
Source: Alexandria
Functional: GGA-PBE
Structure: relaxed

POSCAR file:
```
Pm6CoHg
1.0
3.8616 -5.2404 0.0000
3.8616 5.2404 0.0000
-1.6910 0.0000 6.2386
Pm Co Hg
6 1 1
Direct
0.0505 0.6784 0.7256
0.2725 0.2725 0.8412
0.3216 0.9495 0.2744
0.6784 0.0505 0.7256
0.7275 0.7275 0.1588
0.9495 0.3216 0.2744
0.0000 0.0000 0.0000
0.5000 0.5000 0.5000
```

Output
- space group = C2/m
- ΔH_f (0 K) (eV/atom) = -0.009
- total moment (μB/f.u.) = 0.000
- mass density (kg/m3) = 7428

=====

Among the records above, which one has the highest total moment?
CoSnHg2Pd